A relaxed Tl2CoTe crystal. Source: Alexandria, functional PBE.

abc: 4.773 11.765 4.168
angles: 90.00 90.00 90.00
Space group Cmmm (No. 65)
Unique sites:
Tl 0.000 0.154 0.000
Co 0.000 0.000 0.500
Te 0.000 0.500 0.500

* D(E_F): 1.0402 states/eV/atom
* energy above the most stable polymorph in this dataset: 55 meV/atom
* magnetization: 1.78 μB/cell